Material: Sr2CuHRh
Method: DFT, PBE-GGA
State: relaxed

Magnetic moment: 0.00 μB per formula unit
Final energy: -19.32 eV per cell
Mass density: 5.509 Mg/m³
N(E_F): 1.45 states/eV/cell

Lattice parameters (Å, degrees): 5.2630 5.2630 3.7292 90.00 90.00 90.00
Positions (direct):
Sr 0.5000 0.0000 0.0000
Sr 0.0000 0.5000 0.0000
H 0.0000 0.0000 0.0000
Rh 0.0000 0.0000 0.5000
Cu 0.5000 0.5000 0.5000



Material: AlSbMo2
Method: DFT, PBE-GGA
State: relaxed

Magnetic moment: 0.00 μB per formula unit
Formation energy from raw total energies: 0.35 eV/atom
Mass density: 8.126 Mg/m³
N(E_F): 3.51 states/eV/cell

Lattice parameters (Å, degrees): 2.9588 2.9588 8.5037 90.00 90.00 110.77
Positions (direct):
Mo 0.0000 0.0000 0.5070
Mo 0.0000 0.0000 0.9930
Sb 0.5000 0.5000 0.2500
Al 0.5000 0.5000 0.7500